Computed, not measured: a geometry-optimized PrEr2Lu structure at the PBE-GGA level of DFT.

Structure (POSCAR):
```
PrEr2Lu
1.0
-1.358 -0.144 -3.174
1.260 -2.230 -2.319
-8.069 -9.311 1.994
Lu Er Pr
1 2 1
Direct
0.500 0.500 0.500 Lu
0.092 0.092 0.725 Er
0.908 0.908 0.275 Er
0.000 0.000 0.000 Pr
```

volume	31.84	A^3/atom
energy above the lowest structure with this stoichiometry	12.1	kJ per mole of atoms
raw total energy	-4.451	eV per atom
calculated formation energy	155	meV per atom